# 1
A relaxed Rb3LiTbV2O8 crystal, computed with GGA+U.

Calculated values
Magnetic moment (Bohr magnetons per cell): 1.0
Crystal system: trigonal
E above lowest polymorph (meV per atom): 91
SG: P3m1

a b c (Å): 5.972 5.972 8.925
angles (deg): 90.00 90.00 120.00
Sites, in units of the cell vectors:
Rb 0.000 0.000 0.000
Rb 0.333 0.667 0.523
Rb 0.667 0.333 0.184
Li 0.667 0.333 0.489
Tb 0.667 0.333 0.768
V 0.000 0.000 0.522
V 0.333 0.667 0.995
O 0.000 0.000 0.327
O 0.010 0.505 0.932
O 0.333 0.667 0.184
O 0.340 0.170 0.594
O 0.495 0.505 0.932
O 0.495 0.990 0.932
O 0.830 0.170 0.594
O 0.830 0.660 0.594

***

# 2
A relaxed Rb3LiTbV2O8 crystal, computed with GGA+U.

Calculated values
Magnetic moment (Bohr magnetons per cell): 1.0
Crystal system: trigonal
E above lowest polymorph (meV per atom): 115
SG: P3m1

a b c (Å): 5.989 5.989 9.952
angles (deg): 90.00 90.00 120.00
Sites, in units of the cell vectors:
Rb 0.000 0.000 0.000
Rb 0.333 0.667 0.522
Rb 0.667 0.333 0.279
Li 0.000 0.000 0.675
Tb 0.667 0.333 0.664
V 0.000 0.000 0.439
V 0.333 0.667 0.865
O 0.000 0.000 0.264
O 0.018 0.509 0.800
O 0.312 0.156 0.528
O 0.333 0.667 0.036
O 0.491 0.509 0.800
O 0.491 0.982 0.800
O 0.844 0.156 0.528
O 0.844 0.688 0.528

***

# 3
A relaxed Rb3LiTbV2O8 crystal, computed with GGA+U.

Calculated values
Magnetic moment (Bohr magnetons per cell): 1.0
Crystal system: monoclinic
E above lowest polymorph (meV per atom): 27
SG: C2/m

a b c (Å): 6.047 6.047 8.598
angles (deg): 93.50 93.50 61.64
Sites, in units of the cell vectors:
Rb 0.000 0.000 0.000
Rb 0.336 0.336 0.763
Rb 0.664 0.664 0.237
Li 0.500 0.500 0.500
Tb 0.000 0.000 0.500
V 0.312 0.312 0.272
V 0.688 0.688 0.728
O 0.145 0.145 0.305
O 0.174 0.620 0.372
O 0.341 0.341 0.078
O 0.380 0.826 0.628
O 0.620 0.174 0.372
O 0.659 0.659 0.922
O 0.826 0.380 0.628
O 0.855 0.855 0.695

***

# 4
A relaxed Rb3LiTbV2O8 crystal, computed with GGA+U.

Calculated values
Magnetic moment (Bohr magnetons per cell): 1.0
Crystal system: triclinic
E above lowest polymorph (meV per atom): 24
SG: P1

a b c (Å): 5.601 6.155 8.762
angles (deg): 84.42 89.88 63.76
Sites, in units of the cell vectors:
Rb 0.000 0.000 0.000
Rb 0.217 0.384 0.574
Rb 0.603 0.746 0.762
Li 0.459 0.093 0.322
Tb 0.637 0.612 0.261
V 0.306 0.348 0.048
V 0.952 0.978 0.459
O 0.023 0.967 0.655
O 0.082 0.439 0.195
O 0.134 0.396 0.877
O 0.235 0.887 0.339
O 0.496 0.513 0.038
O 0.510 0.033 0.095
O 0.659 0.282 0.389
O 0.765 0.794 0.431

***

# 5
A relaxed Rb3LiTbV2O8 crystal, computed with GGA+U.

Calculated values
Magnetic moment (Bohr magnetons per cell): 1.0
Crystal system: triclinic
E above lowest polymorph (meV per atom): 0
SG: P1

a b c (Å): 6.122 6.190 7.938
angles (deg): 83.47 85.68 60.74
Sites, in units of the cell vectors:
Rb 0.000 0.000 0.000
Rb 0.309 0.289 0.363
Rb 0.681 0.520 0.646
Li 0.635 0.985 0.773
Tb 0.639 0.651 0.164
V 0.302 0.352 0.927
V 0.969 0.945 0.429
O 0.287 0.801 0.364
O 0.357 0.301 0.710
O 0.450 0.512 0.013
O 0.496 0.015 0.009
O 0.824 0.256 0.341
O 0.825 0.791 0.353
O 0.928 0.946 0.647
O 0.975 0.496 0.999